A plane-wave DFT calculation with PBE+U was carried out for WI2OF after structural relaxation.

Lattice parameters (Å, degrees): 5.628 5.628 3.848 90.00 90.00 90.00
Atoms (fractional coordinates):
W (0.000, 0.000, 0.000)
I (0.000, 0.500, 0.000)
I (0.500, 0.000, 0.000)
O (0.000, 0.000, 0.500)
F (0.500, 0.500, 0.500)

size of the total moment: 0.99 μB per cell
offset from the most stable computed form: 0.00 kJ/mol of atoms
electronic total energy: -19.626 eV for the cell shown
space group: P4/mmm, No. 123
calculated density: 6.4 Mg/m³